1.
Ge2Se2I, relaxed, DFT PBE-GGA; total moment = 0.0 μB/f.u.; D(E_F) = 1.5 states/eV per cell; ΔE to the lowest computed polymorph = 0.170 eV per atom; formation energy from raw total energies = 0.037 eV/atom
1.0
9.238 0.000 0.000
0.000 9.238 0.000
0.000 0.000 3.249
Se Ge I
4 4 2
Direct
0.372 0.128 0.500
0.628 0.872 0.500
0.128 0.628 0.500
0.872 0.372 0.500
0.387 0.887 0.000
0.887 0.613 0.000
0.613 0.113 0.000
0.113 0.387 0.000
0.500 0.500 0.000
0.000 0.000 0.000

=====

2.
ZnHg2Ir, relaxed, DFT PBE-GGA; total moment = 0.0 μB/f.u.; D(E_F) = 2.3 states/eV per cell; formation energy = 0.30 eV per atom
1.0
-2.979 2.739 1.006
-2.497 -3.137 1.146
1.477 0.212 3.796
Hg Ir Zn
2 1 1
Direct
0.500 0.500 0.000
0.000 0.000 0.000
0.500 0.000 0.500
0.000 0.500 0.500

=====

3.
CeHo4Sc, relaxed, DFT PBE-GGA; total moment = 1.0 μB/f.u.; D(E_F) = 52.4 states/eV per cell; formation energy = 0.06 eV per atom
1.0
10.580 0.000 0.000
0.000 5.574 0.024
0.000 -0.051 12.215
Ho Sc Ce
16 4 4
Direct
0.754 0.750 0.541
0.252 0.750 0.288
0.254 0.250 0.959
0.417 0.750 0.543
0.752 0.250 0.212
0.246 0.250 0.459
0.921 0.750 0.295
0.583 0.250 0.457
0.917 0.250 0.957
0.079 0.250 0.705
0.746 0.750 0.041
0.748 0.250 0.712
0.248 0.750 0.788
0.579 0.750 0.795
0.421 0.250 0.205
0.083 0.750 0.043
0.080 0.750 0.542
0.580 0.250 0.958
0.420 0.750 0.042
0.920 0.250 0.458
0.417 0.250 0.710
0.917 0.750 0.790
0.583 0.750 0.290
0.083 0.250 0.210

=====

4.
KBSb2, relaxed, DFT PBE-GGA; total moment = 0.0 μB/f.u.; D(E_F) = 0.2 states/eV per cell; formation energy from raw total energies = 0.376 eV/atom
1.0
6.160 0.000 0.000
0.000 6.160 0.000
3.080 3.080 6.764
B K Sb
2 2 4
Direct
0.500 0.500 0.000
0.250 0.750 0.500
0.000 0.000 0.000
0.750 0.250 0.500
0.454 0.125 0.250
0.296 0.625 0.250
0.875 0.704 0.750
0.375 0.546 0.750

=====

5.
Ca2CuBr, relaxed, DFT PBE-GGA; total moment = 0.0 μB/f.u.; D(E_F) = 1.8 states/eV per cell; ΔE to the lowest computed polymorph = 0.261 eV per atom; formation energy from raw total energies = -0.461 eV/atom
1.0
-4.443 0.775 -3.523
2.320 -2.191 -4.750
-1.409 -1.889 5.215
Ca Cu Br
2 1 1
Direct
0.001 0.001 0.000
0.499 0.499 0.000
0.750 0.250 0.500
0.250 0.750 0.500

=====

6.
Na3HfI7, relaxed, DFT PBE-GGA; total moment = 0.0 μB/f.u.; D(E_F) = 0.0 states/eV per cell; formation energy from raw total energies = -1.057 eV/atom
1.0
7.897 2.577 3.221
0.692 8.277 3.221
-0.281 -0.355 8.028
Na I Hf
3 7 1
Direct
0.779 0.224 0.488
0.531 0.531 0.020
0.224 0.779 0.488
0.102 0.662 0.219
0.895 0.335 0.761
0.123 0.123 0.188
0.878 0.878 0.786
0.662 0.102 0.219
0.335 0.895 0.761
0.598 0.598 0.327
0.998 0.998 0.994

=====

7.
UGe2Pt7Pb2, relaxed, DFT PBE-GGA; total moment = 1.5 μB/f.u.; D(E_F) = 8.8 states/eV per cell; formation energy = -0.45 eV per atom
1.0
4.003 -0.001 0.008
0.004 4.003 0.008
1.991 1.988 15.808
Ge Pt U Pb
2 7 1 2
Direct
0.381 0.381 0.238
0.619 0.619 0.762
0.570 0.069 0.862
0.430 0.931 0.138
0.695 0.695 0.609
0.931 0.430 0.138
0.500 0.500 0.000
0.069 0.570 0.862
0.305 0.305 0.391
0.000 0.000 0.000
0.788 0.788 0.424
0.212 0.212 0.576

=====

8.
Ac7Co3Ag, relaxed, DFT PBE-GGA; total moment = 0.0 μB/f.u.; D(E_F) = 9.9 states/eV per cell; formation energy = 0.00 eV per atom
1.0
7.019 -0.287 -0.977
-1.136 7.165 -0.435
-0.370 -0.267 7.253
Ac Ag Co
7 1 3
Direct
0.269 0.045 0.637
0.269 0.637 0.045
0.776 0.850 0.850
0.731 0.955 0.363
0.000 0.500 0.500
0.224 0.150 0.150
0.731 0.363 0.955
0.500 0.500 0.500
0.500 0.000 0.000
0.000 0.773 0.227
0.000 0.227 0.773

=====

9.
Al2OsCl, relaxed, DFT PBE-GGA; total moment = 0.0 μB/f.u.; D(E_F) = 3.0 states/eV per cell; ΔE to the lowest computed polymorph = 0.690 eV per atom; formation energy from raw total energies = 0.214 eV/atom
1.0
2.925 -0.006 0.000
-1.293 2.623 0.000
0.000 0.000 9.537
Cl Al Os
1 2 1
Direct
0.000 0.000 0.427
0.000 0.000 0.013
0.500 0.500 0.243
0.500 0.500 0.818

=====

10.
RbCe2C, relaxed, DFT PBE-GGA; total moment = 1.8 μB/f.u.; D(E_F) = 9.3 states/eV per cell; formation energy = 0.12 eV per atom
1.0
-1.975 -2.478 1.796
-1.006 -3.080 -1.663
8.250 -6.727 3.483
Ce Rb C
2 1 1
Direct
0.125 0.125 0.626
0.875 0.875 0.374
0.000 0.000 0.000
0.500 0.500 0.500

=====

11.
MnMo2RuPt, relaxed, DFT PBE-GGA; total moment = 0.9 μB/f.u.; D(E_F) = 6.8 states/eV per cell; formation energy = 1.92 eV per atom
1.0
-0.930 -3.704 -2.545
2.159 -2.819 3.313
-4.004 -0.497 2.187
Ru Mo Pt Mn
1 2 1 1
Direct
0.000 0.000 0.000
0.000 0.000 0.500
0.500 0.000 0.000
0.000 0.500 0.000
0.500 0.500 0.500

=====

12.
KMnTe2, relaxed, DFT PBE-GGA; total moment = 4.0 μB/f.u.; D(E_F) = 0.3 states/eV per cell; formation energy from raw total energies = -0.389 eV/atom
1.0
-3.793 -2.252 -4.508
-1.479 -5.478 2.754
-0.727 6.245 0.496
Mn Te K
1 2 1
Direct
0.250 0.750 0.500
0.066 0.066 0.000
0.434 0.434 0.000
0.750 0.250 0.500